1.
A plane-wave DFT calculation with GGA-PBE was carried out for a relaxed VCd3Au12 crystal.

abc: 4.2122 4.2122 16.5281
angles: 90.00 90.00 90.00
Closest atoms and distances in Å follow each position.
Element x y z (fractional)
V1 0.0000 0.0000 0.0000  12 Au 2.88-2.98
Cd1 0.0000 0.0000 0.2462  12 Au 2.97-2.98
Cd2 0.0000 0.0000 0.5000  12 Au 2.98
Cd3 0.0000 0.0000 0.7538  12 Au 2.97-2.98
Au1 0.0000 0.5000 0.1184  2 V 2.88, 8 Au 2.88-2.98, 2 Cd 2.98
Au2 0.0000 0.5000 0.3727  4 Cd 2.97-2.98, 8 Au 2.98
Au3 0.0000 0.5000 0.6273  4 Cd 2.97-2.98, 8 Au 2.98
Au4 0.0000 0.5000 0.8816  2 V 2.88, 8 Au 2.88-2.98, 2 Cd 2.98
Au5 0.5000 0.0000 0.1184  2 V 2.88, 8 Au 2.88-2.98, 2 Cd 2.98
Au6 0.5000 0.0000 0.3727  4 Cd 2.97-2.98, 8 Au 2.98
Au7 0.5000 0.0000 0.6273  4 Cd 2.97-2.98, 8 Au 2.98
Au8 0.5000 0.0000 0.8816  2 V 2.88, 8 Au 2.88-2.98, 2 Cd 2.98
Au9 0.5000 0.5000 0.0000  8 Au 2.88, 4 V 2.98
Au10 0.5000 0.5000 0.2449  8 Au 2.97-2.98, 4 Cd 2.98
Au11 0.5000 0.5000 0.5000  8 Au 2.98, 4 Cd 2.98
Au12 0.5000 0.5000 0.7551  8 Au 2.97-2.98, 4 Cd 2.98

Values from the calculation:
**E_tot**: -52.28 eV for the cell shown
**Space group**: P4/mmm (123)
**Calculated formation energy**: -0.068 eV/atom

2.
A plane-wave DFT calculation with GGA-PBE was carried out for a relaxed YVCdAu2 crystal.

abc: 4.9792 4.9792 5.0736
angles: 90.00 90.00 90.00
Closest atoms and distances in Å follow each position.
Element x y z (fractional)
Y1 0.0000 0.0000 0.0000  2 V 2.54
V1 0.0000 0.0000 0.5000  4 Au 2.49, 2 Y 2.54
Cd1 0.5000 0.5000 0.0000  4 Y 3.52, 8 Au 3.55
Au1 0.0000 0.5000 0.5000  2 V 2.49
Au2 0.5000 0.0000 0.5000  2 V 2.49

Values from the calculation:
**E_tot**: -20.66 eV for the cell shown
**Space group**: P4/mmm (123)
**Calculated formation energy**: 0.479 eV/atom

3.
A plane-wave DFT calculation with GGA-PBE was carried out for a relaxed ZrVCdAu2 crystal.

abc: 4.9329 4.9329 4.8890
angles: 90.00 90.00 90.00
Closest atoms and distances in Å follow each position.
Element x y z (fractional)
Zr1 0.0000 0.0000 0.0000  8 Au 3.47, 4 V 3.49
V1 0.5000 0.5000 0.0000  2 Cd 2.44
Cd1 0.5000 0.5000 0.5000  2 V 2.44, 4 Au 2.47
Au1 0.0000 0.5000 0.5000  2 Cd 2.47
Au2 0.5000 0.0000 0.5000  2 Cd 2.47

Values from the calculation:
**E_tot**: -19.45 eV for the cell shown
**Space group**: P4/mmm (123)
**Calculated formation energy**: 1.138 eV/atom

4.
A plane-wave DFT calculation with GGA-PBE was carried out for a relaxed CdWAu4 crystal.

abc: 5.4704 5.4704 5.4704
angles: 60.00 60.00 60.00
Closest atoms and distances in Å follow each position.
Element x y z (fractional)
Cd1 0.0000 0.0000 0.0000  12 Au 3.21, 4 W 3.35
W1 0.7500 0.7500 0.7500  12 Au 3.21, 4 Cd 3.35
Au1 0.3751 0.3751 0.3751  6 Au 2.73-2.74
Au2 0.3751 0.3751 0.8746  6 Au 2.73-2.74
Au3 0.3751 0.8746 0.3751  6 Au 2.73-2.74
Au4 0.8746 0.3751 0.3751  6 Au 2.73-2.74

Values from the calculation:
**E_tot**: -23.35 eV for the cell shown
**Space group**: F-43m (216)
**Calculated formation energy**: 0.605 eV/atom

5.
A plane-wave DFT calculation with GGA-PBE was carried out for a relaxed Cd2WAu crystal.

abc: 2.8145 4.7750 5.5735
angles: 90.00 96.82 90.00
Closest atoms and distances in Å follow each position.
Element x y z (fractional)
Cd1 0.1765 0.0000 0.2436  3 Cd 2.78-2.81, 2 Au 2.86, 2 W 2.94
Cd2 0.8235 0.0000 0.7564  3 Cd 2.78-2.81, 2 Au 2.86, 2 W 2.94
W1 0.5000 0.5000 0.0000  2 W 2.81, 4 Cd 2.94, 2 Au 2.97
Au1 0.0000 0.5000 0.5000  2 Au 2.81, 4 Cd 2.86, 2 W 2.97

Values from the calculation:
**E_tot**: -16.11 eV for the cell shown
**Offset from the most stable computed form**: 190.6 meV per atom
**Space group**: P2/m (10)
**Calculated formation energy**: 0.487 eV/atom

6.
A plane-wave DFT calculation with GGA-PBE was carried out for a relaxed CdW2Au crystal.

abc: 5.3125 5.3125 2.7647
angles: 92.07 92.07 117.62
Closest atoms and distances in Å follow each position.
Element x y z (fractional)
Cd1 0.0000 0.0000 0.0000  2 Au 2.75, 2 Cd 2.76, 8 W 2.95-3.04
W1 0.0000 0.5000 0.5000  4 W 2.75-2.76, 4 Cd 2.95-3.04, 4 Au 2.95-3.04
W2 0.5000 0.0000 0.5000  4 W 2.75-2.76, 4 Cd 2.95-3.04, 4 Au 2.95-3.04
Au1 0.5000 0.5000 0.0000  2 Cd 2.75, 2 Au 2.76, 8 W 2.95-3.04

Values from the calculation:
**E_tot**: -27.86 eV for the cell shown
**Offset from the most stable computed form**: 279.9 meV per atom
**Space group**: C2/m (12)
**Calculated formation energy**: 0.559 eV/atom

7.
A plane-wave DFT calculation with GGA-PBE was carried out for a relaxed Cd2WAu crystal.

abc: 5.2593 5.2593 5.4037
angles: 101.70 101.70 30.95
Closest atoms and distances in Å follow each position.
Element x y z (fractional)
Cd1 0.0000 0.0000 0.0000  5 Cd 2.81-3.01, 4 W 3.01-3.08, 2 Au 3.02
Cd2 0.2415 0.2415 0.7598  5 Cd 2.81-3.01, 2 Au 2.93, 2 W 2.99
W1 0.4924 0.4924 0.4898  2 W 2.81, 3 Au 2.84-3.04, 6 Cd 2.99-3.08
Au1 0.7499 0.7499 0.2866  2 Au 2.81, 3 W 2.84-3.04, 4 Cd 2.93-3.02

Values from the calculation:
**E_tot**: -16.20 eV for the cell shown
**Offset from the most stable computed form**: 168.5 meV per atom
**Space group**: Cm (8)
**Calculated formation energy**: 0.465 eV/atom

8.
A plane-wave DFT calculation with GGA-PBE was carried out for a relaxed CdW2Au crystal.

abc: 9.8950 9.8950 9.8950
angles: 16.64 16.64 16.64
Closest atoms and distances in Å follow each position.
Element x y z (fractional)
Cd1 0.0000 0.0000 0.0000  6 Cd 2.86, 6 W 3.00
W1 0.2476 0.2476 0.2476  6 W 2.86, 3 Au 2.89, 3 Cd 3.00
W2 0.7524 0.7524 0.7524  6 W 2.86, 3 Au 2.89, 3 Cd 3.00
Au1 0.5000 0.5000 0.5000  6 Au 2.86, 6 W 2.89

Values from the calculation:
**E_tot**: -27.80 eV for the cell shown
**Offset from the most stable computed form**: 296.8 meV per atom
**Space group**: R-3m (166)
**Calculated formation energy**: 0.576 eV/atom

9.
A plane-wave DFT calculation with GGA-PBE was carried out for a relaxed CdW2Au crystal.

abc: 2.7579 4.2453 5.9854
angles: 90.00 90.00 90.00
Closest atoms and distances in Å follow each position.
Element x y z (fractional)
Cd1 0.0000 0.0000 0.0000  2 Cd 2.76, 6 W 2.92-3.07, 4 Au 2.92
W1 0.0000 0.0000 0.4871  6 W 2.76-2.82, 2 Cd 2.92-3.07, 4 Au 3.00
W2 0.5000 0.5000 0.2781  6 W 2.76-2.82, 1 Au 2.87, 4 Cd 3.03
Au1 0.5000 0.5000 0.7570  2 Au 2.76, 5 W 2.87-3.00, 4 Cd 2.92

Values from the calculation:
**E_tot**: -28.29 eV for the cell shown
**Offset from the most stable computed form**: 174.4 meV per atom
**Space group**: Pmm2 (25)
**Calculated formation energy**: 0.453 eV/atom

10.
A plane-wave DFT calculation with GGA-PBE was carried out for a relaxed Cd2WAu crystal.

abc: 10.2017 10.2017 10.2017
angles: 16.55 16.55 16.55
Closest atoms and distances in Å follow each position.
Element x y z (fractional)
Cd1 0.0000 0.0000 0.0000  9 Cd 2.94-3.26, 3 W 2.99
Cd2 0.2411 0.2411 0.2411  9 Cd 2.94-3.26, 3 Au 3.04
W1 0.7482 0.7482 0.7482  3 Au 2.85, 6 W 2.94, 3 Cd 2.99
Au1 0.4908 0.4908 0.4908  3 W 2.85, 6 Au 2.94, 3 Cd 3.04

Values from the calculation:
**E_tot**: -16.79 eV for the cell shown
**Offset from the most stable computed form**: 20.6 meV per atom
**Space group**: R3m (160)
**Calculated formation energy**: 0.317 eV/atom

11.
A plane-wave DFT calculation with GGA-PBE was carried out for a relaxed CdW2Au crystal.

abc: 3.8924 3.8924 4.5452
angles: 90.00 90.00 90.00
Closest atoms and distances in Å follow each position.
Element x y z (fractional)
Cd1 0.0000 0.0000 0.0000  4 Au 2.75, 8 W 2.99
W1 0.0000 0.5000 0.5000  4 W 2.75, 4 Cd 2.99, 4 Au 2.99
W2 0.5000 0.0000 0.5000  4 W 2.75, 4 Cd 2.99, 4 Au 2.99
Au1 0.5000 0.5000 0.0000  4 Cd 2.75, 8 W 2.99

Values from the calculation:
**E_tot**: -28.01 eV for the cell shown
**Offset from the most stable computed form**: 242.5 meV per atom
**Space group**: P4/mmm (123)
**Calculated formation energy**: 0.521 eV/atom

12.
A plane-wave DFT calculation with GGA-PBE was carried out for a relaxed Cd2WAu crystal.

abc: 2.8439 2.8439 9.1055
angles: 90.00 90.00 90.00
Closest atoms and distances in Å follow each position.
Element x y z (fractional)
Cd1 0.0000 0.0000 0.2473  4 Cd 2.84, 4 W 3.02, 4 Au 3.06
Cd2 0.0000 0.0000 0.7527  4 Cd 2.84, 4 W 3.02, 4 Au 3.06
W1 0.5000 0.5000 0.0000  4 W 2.84, 8 Cd 3.02
Au1 0.5000 0.5000 0.5000  4 Au 2.84, 8 Cd 3.06

Values from the calculation:
**E_tot**: -16.88 eV for the cell shown
**Offset from the most stable computed form**: 0.0 meV per atom
**Space group**: P4/mmm (123)
**Calculated formation energy**: 0.296 eV/atom

13.
A plane-wave DFT calculation with GGA-PBE was carried out for a relaxed CdW2Au crystal.

abc: 4.9723 4.9723 5.3216
angles: 95.45 95.45 32.08
Closest atoms and distances in Å follow each position.
Element x y z (fractional)
Cd1 0.0000 0.0000 0.0000  2 Cd 2.75, 3 Au 2.77-2.92, 7 W 2.93-3.05
W1 0.2473 0.2473 0.7165  5 W 2.69-2.92, 1 Cd 2.93, 2 Au 2.95
W2 0.4928 0.4928 0.5082  5 W 2.69-2.92, 2 Cd 2.95, 3 Au 2.96-3.01
Au1 0.7514 0.7514 0.2275  2 Au 2.75, 3 Cd 2.77-2.92, 7 W 2.95-3.04

Values from the calculation:
**E_tot**: -28.05 eV for the cell shown
**Offset from the most stable computed form**: 234.4 meV per atom
**Space group**: Cm (8)
**Calculated formation energy**: 0.513 eV/atom

14.
A plane-wave DFT calculation with GGA-PBE was carried out for a relaxed Cd2WAu crystal.

abc: 5.2208 5.2208 5.2208
angles: 132.74 132.74 69.06
Closest atoms and distances in Å follow each position.
Element x y z (fractional)
Cd1 0.2500 0.7500 0.5000  4 Cd 2.96, 4 Au 3.00, 4 W 3.00
Cd2 0.7500 0.2500 0.5000  4 Cd 2.96, 4 Au 3.00, 4 W 3.00
W1 0.0000 0.0000 0.0000  4 Au 2.96, 8 Cd 3.00
Au1 0.5000 0.5000 0.0000  4 W 2.96, 8 Cd 3.00

Values from the calculation:
**E_tot**: -15.28 eV for the cell shown
**Offset from the most stable computed form**: 399.8 meV per atom
**Space group**: I4/mmm (139)
**Calculated formation energy**: 0.696 eV/atom